Compound: TlZnCl2
Source: Alexandria via LeMat-Bulk
Functional: GGA-PBE
Structure: relaxed

Values from the calculation:
- energy above the most stable polymorph in this dataset (eV/f.u.) = 0.420
- energy relative to the elements, uncorrected (meV/atom) = -598
- calculated volume (Å³/f.u.) = 105.78
- SG = No. 160

a b c (Å): 8.582 8.582 8.582
angles (deg): 25.84 25.84 25.84
Fractional coordinates of all 4 atoms:
Cl: 0.232 0.232 0.232
Cl: 0.030 0.030 0.030
Zn: 0.746 0.746 0.746
Tl: 0.493 0.493 0.493

---

Compound: TlZnCl2
Source: Alexandria via LeMat-Bulk
Functional: GGA-PBE
Structure: relaxed

Values from the calculation:
- energy above the most stable polymorph in this dataset (eV/f.u.) = 1.010
- energy relative to the elements, uncorrected (meV/atom) = -450
- calculated volume (Å³/f.u.) = 101.17
- SG = No. 123

a b c (Å): 5.242 5.242 3.681
angles (deg): 90.00 90.00 90.00
Fractional coordinates of all 4 atoms:
Tl: 0.500 0.000 0.500
Cl: 0.500 0.500 0.000
Cl: 0.000 0.000 0.000
Zn: 0.000 0.500 0.500

---

Compound: TlZnCl2
Source: Alexandria via LeMat-Bulk
Functional: GGA-PBE
Structure: relaxed

Values from the calculation:
- energy above the most stable polymorph in this dataset (eV/f.u.) = 0.000
- energy relative to the elements, uncorrected (meV/atom) = -703
- calculated volume (Å³/f.u.) = 105.35
- SG = No. 166

a b c (Å): 9.779 9.779 9.779
angles (deg): 21.02 21.02 21.02
Fractional coordinates of all 4 atoms:
Zn: 0.500 0.500 0.500
Tl: 0.000 0.000 0.000
Cl: 0.118 0.118 0.118
Cl: 0.882 0.882 0.882

---

Compound: TlZnCl3
Source: Alexandria via LeMat-Bulk
Functional: GGA-PBE
Structure: relaxed

Values from the calculation:
- energy above the most stable polymorph in this dataset (eV/f.u.) = 0.064
- energy relative to the elements, uncorrected (meV/atom) = -1108
- calculated volume (Å³/f.u.) = 165.29
- SG = No. 2

a b c (Å): 7.455 7.612 6.491
angles (deg): 106.24 86.04 71.61
Fractional coordinates of all 10 atoms:
Cl: 0.808 0.021 0.242
Cl: 0.777 0.433 0.905
Cl: 0.551 0.670 0.481
Cl: 0.337 0.937 0.092
Cl: 0.034 0.783 0.666
Cl: 0.248 0.516 0.055
Zn: 0.082 0.818 0.011
Zn: 0.503 0.636 0.136
Tl: 0.626 0.062 0.737
Tl: 0.958 0.392 0.410

---

Compound: TlZnCl2
Source: Alexandria via LeMat-Bulk
Functional: GGA-PBE
Structure: relaxed

Values from the calculation:
- energy above the most stable polymorph in this dataset (eV/f.u.) = 1.026
- energy relative to the elements, uncorrected (meV/atom) = -446
- calculated volume (Å³/f.u.) = 118.08
- SG = No. 119

a b c (Å): 7.426 7.426 7.426
angles (deg): 147.46 147.46 46.69
Fractional coordinates of all 4 atoms:
Cl: 0.250 0.750 0.500
Cl: 0.000 0.000 0.000
Zn: 0.750 0.250 0.500
Tl: 0.500 0.500 0.000

---

Compound: TlZnCl3
Source: Alexandria via LeMat-Bulk
Functional: GGA-PBE
Structure: relaxed

Values from the calculation:
- energy above the most stable polymorph in this dataset (eV/f.u.) = 0.254
- energy relative to the elements, uncorrected (meV/atom) = -1070
- calculated volume (Å³/f.u.) = 182.75
- SG = No. 167

a b c (Å): 8.738 8.738 8.738
angles (deg): 50.46 50.46 50.46
Fractional coordinates of all 10 atoms:
Zn: 0.750 0.750 0.750
Zn: 0.250 0.250 0.250
Cl: 0.954 0.546 0.250
Cl: 0.454 0.750 0.046
Cl: 0.750 0.046 0.454
Cl: 0.046 0.454 0.750
Cl: 0.250 0.954 0.546
Cl: 0.546 0.250 0.954
Tl: 0.000 0.000 0.000
Tl: 0.500 0.500 0.500